No. 1
Entry from Alexandria via LeMat-Bulk: a relaxed CaEr2Ni crystal (GGA-PBE).

```
CaEr2Ni
1.0
3.828 0.000 0.000
1.914 3.315 0.000
1.914 1.105 10.163
Ni Er Ca
1 2 1
direct
0.500 0.500 0.500
0.881 0.881 0.356
0.119 0.119 0.644
0.000 0.000 0.000
```

## Properties
Volume in Å³/f.u.: 129.0
E in eV per cell: -16.965
Offset from the most stable computed form in eV per atom: 0.1478

---

No. 2
Entry from Alexandria via LeMat-Bulk: a relaxed CaErNi2 crystal (GGA-PBE).

```
CaErNi2
1.0
3.370 0.000 0.000
0.000 3.370 0.000
0.000 0.000 6.855
Ni Ca Er
2 1 1
direct
0.000 0.000 0.783
0.000 0.000 0.217
0.500 0.500 0.500
0.500 0.500 0.000
```

## Properties
Volume in Å³/f.u.: 77.8
E in eV per cell: -19.162
Offset from the most stable computed form in eV per atom: 0.0000

---

No. 3
Entry from Alexandria via LeMat-Bulk: a relaxed CaErNi4 crystal (GGA-PBE).

```
CaErNi4
1.0
-4.038 1.570 2.605
-0.039 -0.332 5.044
0.279 4.192 2.812
Ni Ca Er
4 1 1
direct
0.625 0.126 0.625
0.625 0.625 0.126
0.625 0.625 0.625
0.126 0.625 0.625
0.000 0.000 0.000
0.250 0.250 0.250
```

## Properties
Volume in Å³/f.u.: 91.4
E in eV per cell: -31.665

---

Summary of N(E_F) in states/eV per atom
1.032 0.284 1.213
(order as listed above)
Summary of ΔH_f (0 K) in eV per atom
-0.01 -0.26 -0.33
(order as listed above)